DFT (PBE) results for an optimized crystal structure of Ta2ZnCo.

Cell and atoms, written as POSCAR:
```
Ta2ZnCo
1.0
2.822 0.000 0.000
0.000 2.822 0.000
0.000 0.000 7.618
Ta Zn Co
2 1 1
direct
0.000 0.000 0.230
0.000 0.000 0.770
0.500 0.500 0.500
0.500 0.500 0.000
```

energy of formation from the pure elements: -0.17 eV per formula unit
total DFT energy (no corrections): -32.3 eV for the cell shown
total magnetization: 0.0 μB/f.u.
volume: 15.162 Å³/atom


DFT (PBE) results for an optimized crystal structure of Y5Mn.

Cell and atoms, written as POSCAR:
```
Y5Mn
1.0
0.000 4.553 4.553
4.553 0.000 4.553
4.553 4.553 0.000
Y Mn
5 1
direct
0.000 0.000 0.000
0.125 0.625 0.625
0.625 0.125 0.625
0.625 0.625 0.125
0.625 0.625 0.625
0.250 0.250 0.250
```

distance to the lowest polymorph of the same formula: 0.3653 eV/atom
energy of formation from the pure elements: 3.14 eV per formula unit
total DFT energy (no corrections): -38.3 eV for the cell shown
total magnetization: 4.7 μB/f.u.
volume: 31.457 Å³/atom


DFT (PBE) results for an optimized crystal structure of MgNbHg2.

Cell and atoms, written as POSCAR:
```
MgNbHg2
1.0
3.078 0.000 0.000
-1.539 2.665 0.000
0.000 0.000 31.851
Mg Nb Hg
3 3 6
direct
0.000 0.000 0.000
0.333 0.667 0.667
0.667 0.333 0.333
0.000 0.000 0.500
0.333 0.667 0.167
0.667 0.333 0.833
0.000 0.000 0.409
0.000 0.000 0.591
0.333 0.667 0.076
0.333 0.667 0.257
0.667 0.333 0.743
0.667 0.333 0.924
```

energy of formation from the pure elements: 1.50 eV per formula unit
total DFT energy (no corrections): -32.3 eV for the cell shown
total magnetization: 0.0 μB/f.u.
volume: 21.772 Å³/atom